First-principles (PBE-GGA) data for crystalline Sm6TcSb2 at its relaxed geometry, as listed in Alexandria.

Values from the calculation:
**Calculated volume**: 28.99 Å³ per atom
**Formation energy (no corrections)**: -565 meV/atom
**Density of states at the Fermi level**: 10.9 states/eV per cell

Structure (POSCAR):
```
Sm6TcSb2
1.0
4.260 0.000 0.000
0.000 7.284 4.204
0.000 -7.284 4.204
Sm Tc Sb
6 1 2
direct
0.000 0.000 0.000
0.000 0.524 0.762
0.000 0.762 0.524
0.500 0.165 0.762
0.500 0.358 0.358
0.500 0.762 0.165
0.500 0.762 0.762
0.000 0.095 0.428
0.000 0.428 0.095
```